No. 1
Material: PmPr2Nd8
Method: DFT, PBE
State: optimized geometry

Structure (CIF):
```
data_PmPr2Nd8
_cell_length_a 5.2118
_cell_length_b 8.2453
_cell_length_c 9.7376
_cell_angle_alpha 104.68
_cell_angle_beta 105.52
_cell_angle_gamma 90.00
_space_group_name_H-M_alt 'P 1'
_space_group_IT_number 1
loop_
_space_group_symop_operation_xyz
'x,y,z'
loop_
_atom_site_label
_atom_site_type_symbol
_atom_site_fract_x
_atom_site_fract_y
_atom_site_fract_z
Nd1 Nd 0.8642 0.8196 0.7284
Pm1 Pm 0.5000 0.0000 0.0000
Nd2 Nd 0.5904 0.4538 0.1809
Pr1 Pr 0.2271 0.6366 0.4543
Nd3 Nd 0.6815 0.9091 0.3631
Pr2 Pr 0.7729 0.3634 0.5457
Nd4 Nd 0.1358 0.1804 0.2716
Nd5 Nd 0.3185 0.0909 0.6369
Nd6 Nd 0.4096 0.5462 0.8191
Nd7 Nd 0.0452 0.7277 0.0904
Nd8 Nd 0.9548 0.2723 0.9096
```

The formation energy comes out at 0.012 eV/atom. For the raw total energy, the calculation gives -52.322 eV for the cell shown. The value obtained for the mass density is 6748 kg/m³. The density of states at the Fermi level is 1.632 states/eV per atom. The space group is C2/m, No. 12. For the relative energy among the computed polymorphs, the calculation gives 0.000 eV per atom. The calculation puts the total moment at 0.000 μB/cell.

---

No. 2
Material: PmPrNd3
Method: DFT, PBE
State: optimized geometry

Structure (CIF):
```
data_PmPrNd3
_cell_length_a 5.5445
_cell_length_b 7.5131
_cell_length_c 8.5784
_cell_angle_alpha 90.00
_cell_angle_beta 90.00
_cell_angle_gamma 90.00
_space_group_name_H-M_alt 'P 1'
_space_group_IT_number 1
loop_
_space_group_symop_operation_xyz
'x,y,z'
loop_
_atom_site_label
_atom_site_type_symbol
_atom_site_fract_x
_atom_site_fract_y
_atom_site_fract_z
Nd1 Nd 0.7500 0.0408 0.7472
Nd2 Nd 0.2500 0.9592 0.2528
Nd3 Nd 0.7500 0.7500 0.0538
Pm1 Pm 0.2500 0.2500 0.5593
Pm2 Pm 0.7500 0.7500 0.4407
Pr1 Pr 0.7500 0.2500 0.2586
Nd4 Nd 0.2500 0.2500 0.9462
Nd5 Nd 0.7500 0.4592 0.7472
Nd6 Nd 0.2500 0.5408 0.2528
Pr2 Pr 0.2500 0.7500 0.7414
```

The formation energy comes out at 0.171 eV/atom. For the raw total energy, the calculation gives -45.962 eV for the cell shown. The value obtained for the mass density is 6679 kg/m³. The density of states at the Fermi level is 1.832 states/eV per atom. The space group is Pmmn, No. 59. For the relative energy among the computed polymorphs, the calculation gives 0.107 eV per atom. The calculation puts the total moment at 0.000 μB/cell.

---

No. 3
Material: Pm5Pr12Nd
Method: DFT, PBE
State: optimized geometry

Structure (CIF):
```
data_Pm5Pr12Nd
_cell_length_a 11.5627
_cell_length_b 10.7316
_cell_length_c 6.1565
_cell_angle_alpha 90.01
_cell_angle_beta 90.01
_cell_angle_gamma 57.40
_space_group_name_H-M_alt 'P 1'
_space_group_IT_number 1
loop_
_space_group_symop_operation_xyz
'x,y,z'
loop_
_atom_site_label
_atom_site_type_symbol
_atom_site_fract_x
_atom_site_fract_y
_atom_site_fract_z
Nd1 Nd 0.0000 0.0000 0.0000
Pm1 Pm 0.5000 0.0000 0.5000
Pr1 Pr 0.6733 0.0000 0.9547
Pr2 Pr 0.3414 0.6665 0.9525
Pr3 Pr 0.6586 0.3335 0.0475
Pr4 Pr 0.3267 0.0000 0.0453
Pr5 Pr 0.8409 0.6666 0.5473
Pr6 Pr 0.8257 0.0000 0.4547
Pm2 Pm 0.8332 0.3337 0.5000
Pm3 Pm 0.6671 0.6658 0.0000
Pm4 Pm 0.3329 0.3342 0.0000
Pr7 Pr 0.1591 0.3334 0.4527
Pr8 Pr 0.5075 0.3334 0.5473
Pr9 Pr 0.0079 0.3335 0.9525
Pm5 Pm 0.1668 0.6663 0.5000
Pr10 Pr 0.4925 0.6666 0.4527
Pr11 Pr 0.9921 0.6665 0.0475
Pr12 Pr 0.1743 0.0000 0.5453
```

The formation energy comes out at 0.098 eV/atom. For the raw total energy, the calculation gives -84.104 eV for the cell shown. The value obtained for the mass density is 6605 kg/m³. The density of states at the Fermi level is 1.838 states/eV per atom. The space group is C2/m, No. 12. The calculation puts the total moment at 0.000 μB/cell.

---

No. 4
Material: Pm2Pr3Nd6
Method: DFT, PBE
State: optimized geometry

Structure (CIF):
```
data_Pm2Pr3Nd6
_cell_length_a 3.6835
_cell_length_b 3.6835
_cell_length_c 33.1840
_cell_angle_alpha 86.82
_cell_angle_beta 86.82
_cell_angle_gamma 60.00
_space_group_name_H-M_alt 'P 1'
_space_group_IT_number 1
loop_
_space_group_symop_operation_xyz
'x,y,z'
loop_
_atom_site_label
_atom_site_type_symbol
_atom_site_fract_x
_atom_site_fract_y
_atom_site_fract_z
Nd1 Nd 0.3638 0.3638 0.9085
Pm1 Pm 0.4548 0.4548 0.6356
Pr1 Pr 0.7276 0.7276 0.8172
Pr2 Pr 0.0000 0.0000 0.0000
Nd2 Nd 0.9086 0.9086 0.2743
Pr3 Pr 0.2724 0.2724 0.1828
Nd3 Nd 0.8182 0.8182 0.5455
Nd4 Nd 0.0914 0.0914 0.7257
Nd5 Nd 0.6362 0.6362 0.0915
Pm2 Pm 0.5452 0.5452 0.3644
Nd6 Nd 0.1818 0.1818 0.4545
```

The formation energy comes out at 0.010 eV/atom. For the raw total energy, the calculation gives -52.341 eV for the cell shown. The value obtained for the mass density is 6735 kg/m³. The density of states at the Fermi level is 1.406 states/eV per atom. The space group is R-3m, No. 166. For the relative energy among the computed polymorphs, the calculation gives 0.000 eV per atom. The calculation puts the total moment at 0.000 μB/cell.

---

No. 5
Material: Pm3PrNd6
Method: DFT, PBE
State: optimized geometry

Structure (CIF):
```
data_Pm3PrNd6
_cell_length_a 10.1246
_cell_length_b 10.1246
_cell_length_c 7.0830
_cell_angle_alpha 44.38
_cell_angle_beta 44.38
_cell_angle_gamma 60.00
_space_group_name_H-M_alt 'P 1'
_space_group_IT_number 1
loop_
_space_group_symop_operation_xyz
'x,y,z'
loop_
_atom_site_label
_atom_site_type_symbol
_atom_site_fract_x
_atom_site_fract_y
_atom_site_fract_z
Nd1 Nd 0.3996 0.7253 0.8006
Pm1 Pm 0.4003 0.4003 0.7992
Nd2 Nd 0.5734 0.2263 0.3007
Nd3 Nd 0.8996 0.5734 0.3007
Nd4 Nd 0.0746 0.3996 0.8006
Pm2 Pm 0.1521 0.1521 0.5438
Nd5 Nd 0.7253 0.0746 0.8006
Nd6 Nd 0.2263 0.8996 0.3007
Pm3 Pm 0.6487 0.6487 0.0538
Pr1 Pr 0.9002 0.9002 0.2994
```

The formation energy comes out at 0.228 eV/atom. For the raw total energy, the calculation gives -45.358 eV for the cell shown. The value obtained for the mass density is 6740 kg/m³. The density of states at the Fermi level is 1.947 states/eV per atom. The space group is R3, No. 146. For the relative energy among the computed polymorphs, the calculation gives 0.096 eV per atom. The calculation puts the total moment at 0.000 μB/cell.

---

No. 6
Material: Pm9Pr2Nd
Method: DFT, PBE
State: optimized geometry

Structure (CIF):
```
data_Pm9Pr2Nd
_cell_length_a 5.1770
_cell_length_b 5.1770
_cell_length_c 15.5333
_cell_angle_alpha 90.00
_cell_angle_beta 90.00
_cell_angle_gamma 90.00
_space_group_name_H-M_alt 'P 1'
_space_group_IT_number 1
loop_
_space_group_symop_operation_xyz
'x,y,z'
loop_
_atom_site_label
_atom_site_type_symbol
_atom_site_fract_x
_atom_site_fract_y
_atom_site_fract_z
Pm1 Pm 0.5000 0.5000 0.6670
Pr1 Pr 0.0000 0.0000 0.3330
Pm2 Pm 0.5000 0.5000 0.0000
Pm3 Pm 0.5000 0.5000 0.3330
Pm4 Pm 0.5000 0.0000 0.5000
Pm5 Pm 0.5000 0.0000 0.1662
Pr2 Pr 0.0000 0.0000 0.6670
Pm6 Pm 0.0000 0.5000 0.5000
Pm7 Pm 0.5000 0.0000 0.8338
Nd1 Nd 0.0000 0.0000 0.0000
Pm8 Pm 0.0000 0.5000 0.8338
Pm9 Pm 0.0000 0.5000 0.1662
```

The formation energy comes out at 0.014 eV/atom. For the raw total energy, the calculation gives -56.911 eV for the cell shown. The value obtained for the mass density is 6905 kg/m³. The density of states at the Fermi level is 1.641 states/eV per atom. The space group is P4/mmm, No. 123. For the relative energy among the computed polymorphs, the calculation gives 0.000 eV per atom. The calculation puts the total moment at 0.000 μB/cell.

---

No. 7
Material: Pm5Pr4Nd3
Method: DFT, PBE
State: optimized geometry

Structure (CIF):
```
data_Pm5Pr4Nd3
_cell_length_a 7.3509
_cell_length_b 11.6435
_cell_length_c 13.2797
_cell_angle_alpha 151.30
_cell_angle_beta 56.36
_cell_angle_gamma 129.19
_space_group_name_H-M_alt 'P 1'
_space_group_IT_number 1
loop_
_space_group_symop_operation_xyz
'x,y,z'
loop_
_atom_site_label
_atom_site_type_symbol
_atom_site_fract_x
_atom_site_fract_y
_atom_site_fract_z
Pm1 Pm 0.2493 0.5002 0.0002
Pm2 Pm 0.5000 0.0000 0.5000
Nd1 Nd 0.5812 0.1653 0.3331
Pr1 Pr 0.9164 0.8340 0.6666
Pr2 Pr 0.0836 0.1660 0.3334
Nd2 Nd 0.4188 0.8347 0.6669
Nd3 Nd 0.0000 0.0000 0.5000
Pm3 Pm 0.7507 0.4998 0.9998
Pr3 Pr 0.1684 0.3346 0.1667
Pr4 Pr 0.8316 0.6654 0.8333
Pm4 Pm 0.6678 0.3336 0.1661
Pm5 Pm 0.3322 0.6664 0.8339
```

The formation energy comes out at 0.012 eV/atom. For the raw total energy, the calculation gives -57.032 eV for the cell shown. The value obtained for the mass density is 6757 kg/m³. The density of states at the Fermi level is 1.572 states/eV per atom. The space group is P-1, No. 2. For the relative energy among the computed polymorphs, the calculation gives 0.000 eV per atom. The calculation puts the total moment at 0.000 μB/cell.

---

No. 8
Material: Pm3Pr2Nd3
Method: DFT, PBE
State: optimized geometry

Structure (CIF):
```
data_Pm3Pr2Nd3
_cell_length_a 6.4178
_cell_length_b 5.9674
_cell_length_c 14.8274
_cell_angle_alpha 90.00
_cell_angle_beta 90.00
_cell_angle_gamma 90.00
_space_group_name_H-M_alt 'P 1'
_space_group_IT_number 1
loop_
_space_group_symop_operation_xyz
'x,y,z'
loop_
_atom_site_label
_atom_site_type_symbol
_atom_site_fract_x
_atom_site_fract_y
_atom_site_fract_z
Pr1 Pr 0.1660 0.2499 0.3751
Pm1 Pm 0.1654 0.2500 0.6255
Pm2 Pm 0.1654 0.2500 0.8745
Nd1 Nd 0.3372 0.7498 0.2500
Pr2 Pr 0.8340 0.7501 0.8751
Nd2 Nd 0.6628 0.2502 0.7500
Pm3 Pm 0.3322 0.7501 0.7500
Pm4 Pm 0.8346 0.7500 0.1255
Pr3 Pr 0.8340 0.7501 0.6249
Pm5 Pm 0.6678 0.2499 0.2500
Pm6 Pm 0.8346 0.7500 0.3745
Nd3 Nd 0.3343 0.7499 0.9995
Nd4 Nd 0.6657 0.2501 0.0005
Nd5 Nd 0.6657 0.2501 0.4995
Nd6 Nd 0.3343 0.7499 0.5005
Pr4 Pr 0.1660 0.2499 0.1249
```

The formation energy comes out at 0.033 eV/atom. For the raw total energy, the calculation gives -75.696 eV for the cell shown. The value obtained for the mass density is 6723 kg/m³. The density of states at the Fermi level is 1.763 states/eV per atom. The space group is Pmmn, No. 59. For the relative energy among the computed polymorphs, the calculation gives 0.000 eV per atom. The calculation puts the total moment at 0.000 μB/cell.

---

No. 9
Material: Pm4Pr7Nd
Method: DFT, PBE
State: optimized geometry

Structure (CIF):
```
data_Pm4Pr7Nd
_cell_length_a 6.1498
_cell_length_b 9.9782
_cell_length_c 8.7893
_cell_angle_alpha 60.75
_cell_angle_beta 69.52
_cell_angle_gamma 72.05
_space_group_name_H-M_alt 'P 1'
_space_group_IT_number 1
loop_
_space_group_symop_operation_xyz
'x,y,z'
loop_
_atom_site_label
_atom_site_type_symbol
_atom_site_fract_x
_atom_site_fract_y
_atom_site_fract_z
Pm1 Pm 0.3280 0.3888 0.9552
Pr1 Pr 0.0830 0.5582 0.2758
Pr2 Pr 0.2091 0.7725 0.8093
Pr3 Pr 0.2115 0.1224 0.4546
Pr4 Pr 0.7909 0.2275 0.1907
Pr5 Pr 0.7885 0.8776 0.5454
Pm2 Pm 0.4272 0.6973 0.4484
Pr6 Pr 0.9170 0.4418 0.7242
Pm3 Pm 0.5728 0.3027 0.5516
Pm4 Pm 0.6720 0.6112 0.0448
Nd1 Nd 0.0000 0.0000 0.0000
Pr7 Pr 0.5000 0.0000 0.0000
```

The formation energy comes out at 0.193 eV/atom. For the raw total energy, the calculation gives -54.910 eV for the cell shown. The value obtained for the mass density is 6536 kg/m³. The density of states at the Fermi level is 1.652 states/eV per atom. The space group is C2/m, No. 12. For the relative energy among the computed polymorphs, the calculation gives 0.181 eV per atom. The calculation puts the total moment at 0.513 μB/cell.

---

No. 10
Material: Pm6PrNd6
Method: DFT, PBE
State: optimized geometry

Structure (CIF):
```
data_Pm6PrNd6
_cell_length_a 6.7913
_cell_length_b 6.7913
_cell_length_c 11.6649
_cell_angle_alpha 90.00
_cell_angle_beta 90.00
_cell_angle_gamma 120.00
_space_group_name_H-M_alt 'P 1'
_space_group_IT_number 1
loop_
_space_group_symop_operation_xyz
'x,y,z'
loop_
_atom_site_label
_atom_site_type_symbol
_atom_site_fract_x
_atom_site_fract_y
_atom_site_fract_z
Pm1 Pm 0.6667 0.3333 0.0000
Pm2 Pm 0.3333 0.6667 0.5000
Pr1 Pr 0.0000 0.0000 0.0000
Nd1 Nd 0.5000 0.5000 0.2501
Pm3 Pm 0.3333 0.6667 0.0000
Nd2 Nd 0.5000 0.0000 0.2501
Nd3 Nd 0.0000 0.5000 0.7499
Nd4 Nd 0.0000 0.5000 0.2501
Nd5 Nd 0.5000 0.0000 0.7499
Nd6 Nd 0.5000 0.5000 0.7499
Pm4 Pm 0.6667 0.3333 0.5000
Pm5 Pm 0.0000 0.0000 0.3546
Pm6 Pm 0.0000 0.0000 0.6454
```

The formation energy comes out at 0.254 eV/atom. For the raw total energy, the calculation gives -58.585 eV for the cell shown. The value obtained for the mass density is 6687 kg/m³. The density of states at the Fermi level is 1.963 states/eV per atom. The space group is P6/mmm, No. 191. The calculation puts the total moment at 0.002 μB/cell.

---

No. 11
Material: Pm3PrNd
Method: DFT, PBE
State: optimized geometry

Structure (CIF):
```
data_Pm3PrNd
_cell_length_a 6.6575
_cell_length_b 11.9221
_cell_length_c 6.6636
_cell_angle_alpha 123.76
_cell_angle_beta 119.92
_cell_angle_gamma 90.24
_space_group_name_H-M_alt 'P 1'
_space_group_IT_number 1
loop_
_space_group_symop_operation_xyz
'x,y,z'
loop_
_atom_site_label
_atom_site_type_symbol
_atom_site_fract_x
_atom_site_fract_y
_atom_site_fract_z
Pr1 Pr 0.4627 0.8112 0.7508
Pm1 Pm 0.8744 0.8127 0.3324
Nd1 Nd 0.0000 0.0000 0.0000
Pm2 Pm 0.6976 0.5427 0.3894
Pm3 Pm 0.7054 0.1875 0.8360
Pm4 Pm 0.2946 0.8125 0.1640
Pm5 Pm 0.1256 0.1873 0.6676
Pm6 Pm 0.3024 0.4573 0.6106
Nd2 Nd 0.0000 0.5000 0.0000
Pr2 Pr 0.5373 0.1888 0.2492
```

The formation energy comes out at 0.149 eV/atom. For the raw total energy, the calculation gives -46.110 eV for the cell shown. The value obtained for the mass density is 6816 kg/m³. The density of states at the Fermi level is 1.422 states/eV per atom. The space group is P-1, No. 2. For the relative energy among the computed polymorphs, the calculation gives 0.137 eV per atom. The calculation puts the total moment at 0.000 μB/cell.

---

No. 12
Material: Pm2PrNd6
Method: DFT, PBE
State: optimized geometry

Structure (CIF):
```
data_Pm2PrNd6
_cell_length_a 8.3175
_cell_length_b 8.3175
_cell_length_c 10.6380
_cell_angle_alpha 90.00
_cell_angle_beta 90.00
_cell_angle_gamma 90.00
_space_group_name_H-M_alt 'P 1'
_space_group_IT_number 1
loop_
_space_group_symop_operation_xyz
'x,y,z'
loop_
_atom_site_label
_atom_site_type_symbol
_atom_site_fract_x
_atom_site_fract_y
_atom_site_fract_z
Nd1 Nd 0.7620 0.2380 0.6666
Nd2 Nd 0.7380 0.7380 0.8334
Pm1 Pm 0.0000 0.0000 0.1671
Nd3 Nd 0.7620 0.2380 0.3334
Nd4 Nd 0.2620 0.2620 0.8334
Nd5 Nd 0.7380 0.7380 0.1666
Pm2 Pm 0.5000 0.5000 0.6671
Nd6 Nd 0.7633 0.2367 0.0000
Nd7 Nd 0.2367 0.7633 0.0000
Pm3 Pm 0.5000 0.5000 0.3329
Nd8 Nd 0.7367 0.7367 0.5000
Pr1 Pr 0.0000 0.0000 0.5000
Nd9 Nd 0.2620 0.2620 0.1666
Pr2 Pr 0.5000 0.5000 0.0000
Nd10 Nd 0.2380 0.7620 0.6666
Nd11 Nd 0.2380 0.7620 0.3334
Pm4 Pm 0.0000 0.0000 0.8329
Nd12 Nd 0.2633 0.2633 0.5000
```

The formation energy comes out at 0.598 eV/atom. For the raw total energy, the calculation gives -75.006 eV for the cell shown. The value obtained for the mass density is 5850 kg/m³. The density of states at the Fermi level is 1.550 states/eV per atom. The space group is P4_2/mnm, No. 136. For the relative energy among the computed polymorphs, the calculation gives 0.598 eV per atom. The calculation puts the total moment at 0.000 μB/cell.